Al2OsW after structural relaxation. Source: the Alexandria database, functional PBE-GGA.

Lattice parameters (Å, degrees): 6.1464 6.1464 6.1464 90.00 90.00 90.00
Space group Fm-3m (No. 225)
Asymmetric unit:
Al (0.2500, 0.2500, 0.2500) [8 per cell]
Os (0.0000, 0.0000, 0.0000) [4 per cell]
W (0.0000, 0.0000, 0.5000) [4 per cell]

**Energy relative to the lowest polymorph listed for this composition**: 289 meV per atom
**Total magnetic moment**: 0.00 μB/f.u.
**ΔE_f**: 0.025 eV/atom
**Density of states at the Fermi level**: 19.54 states/eV/cell
**E**: -7.892 eV/atom

HfZr2Se after structural relaxation. Source: the Alexandria database, functional PBE-GGA.

Lattice parameters (Å, degrees): 6.0805 8.8046 3.4679 90.00 114.65 90.00
Space group Cm (No. 8)
Asymmetric unit:
Hf (0.0000, 0.0000, 0.0000) [2 per cell]
Zr (0.1080, 0.2986, 0.4391) [4 per cell]
Se (0.3779, 0.0000, 0.7795) [2 per cell]

**Total magnetic moment**: 0.00 μB/f.u.
**Raw formation energy**: -2.17 eV/f.u.
**Density of states at the Fermi level**: 5.35 states/eV/cell
**E**: -8.176 eV/atom

Al2InSb after structural relaxation. Source: the Alexandria database, functional PBE-GGA.

Lattice parameters (Å, degrees): 3.1420 3.8415 7.6570 90.00 90.00 90.00
Space group Pmm2 (No. 25)
Asymmetric unit:
Al (0.0000, 0.0000, 0.0000) [1 per cell]
Al (0.5000, 0.5000, 0.1801) [1 per cell]
In (0.0000, 0.0000, 0.4397) [1 per cell]
Sb (0.5000, 0.5000, 0.7753) [1 per cell]

**Energy relative to the lowest polymorph listed for this composition**: 32 meV per atom
**Total magnetic moment**: 0.00 μB/f.u.
**Raw formation energy**: 0.54 eV/f.u.
**Density of states at the Fermi level**: 1.01 states/eV/cell
**E**: -3.452 eV/atom

AlCd2In after structural relaxation. Source: the Alexandria database, functional PBE-GGA.

Lattice parameters (Å, degrees): 3.1213 4.6393 6.2014 90.00 90.00 90.00
Space group Pmm2 (No. 25)
Asymmetric unit:
Al (0.0000, 0.0000, 0.0000) [1 per cell]
Cd (0.0000, 0.0000, 0.4921) [1 per cell]
Cd (0.5000, 0.5000, 0.2506) [1 per cell]
In (0.5000, 0.5000, 0.7637) [1 per cell]

**Energy relative to the lowest polymorph listed for this composition**: 33 meV per atom
**Total magnetic moment**: 0.00 μB/f.u.
**ΔE_f**: 0.111 eV/atom
**Density of states at the Fermi level**: 1.16 states/eV/cell
**E**: -1.967 eV/atom

SiPb after structural relaxation. Source: the Alexandria database, functional PBE-GGA.

Lattice parameters (Å, degrees): 9.0674 11.9081 12.2801 90.00 90.00 90.00
Space group Fddd (No. 70, origin choice 2)
Asymmetric unit:
Si (0.1250, 0.1250, 0.2844) [16 per cell]
Pb (0.1250, 0.2888, 0.1250) [16 per cell]

**Total magnetic moment**: 0.00 μB/f.u.
**Raw formation energy**: 1.35 eV/f.u.
**Density of states at the Fermi level**: 0.58 states/eV/cell
**E**: -3.892 eV/atom

RbNaP2 after structural relaxation. Source: the Alexandria database, functional PBE-GGA.

Lattice parameters (Å, degrees): 4.8467 4.8467 19.6308 90.00 90.00 90.00
Space group I4_1/amd (No. 141, origin choice 2)
Asymmetric unit:
Rb (0.0000, 0.2500, 0.3750) [4 per cell]
Na (0.0000, 0.2500, 0.8750) [4 per cell]
P (0.0000, 0.0000, 0.0000) [8 per cell]

**Energy relative to the lowest polymorph listed for this composition**: 0 meV per atom
**Total magnetic moment**: 0.00 μB/f.u.
**ΔE_f**: -0.007 eV/atom
**Density of states at the Fermi level**: 6.65 states/eV/cell
**E**: -3.283 eV/atom

SrCaInPt after structural relaxation. Source: the Alexandria database, functional PBE-GGA.

Lattice parameters (Å, degrees): 7.5283 7.5283 7.5283 90.00 90.00 90.00
Space group F-43m (No. 216)
Asymmetric unit:
Sr (0.0000, 0.0000, 0.0000) [4 per cell]
Ca (0.0000, 0.0000, 0.5000) [4 per cell]
In (0.2500, 0.2500, 0.2500) [4 per cell]
Pt (0.2500, 0.2500, 0.7500) [4 per cell]

**Total magnetic moment**: 0.00 μB/f.u.
**ΔE_f**: -0.502 eV/atom
**Density of states at the Fermi level**: 15.44 states/eV/cell
**E**: -3.617 eV/atom

Pr6Nd2Y3Tl after structural relaxation. Source: the Alexandria database, functional PBE-GGA.

Lattice parameters (Å, degrees): 6.2773 10.9027 12.0225 90.00 100.12 90.00
Space group C2/m (No. 12)
Asymmetric unit:
Pr (0.2428, 0.0000, 0.2488) [4 per cell]
Pr (0.2463, 0.1632, 0.7503) [8 per cell]
Nd (0.0000, 0.3337, 0.5000) [4 per cell]
Y (0.0000, 0.1669, 0.0000) [4 per cell]
Y (0.0000, 0.5000, 0.0000) [2 per cell]
Tl (0.0000, 0.0000, 0.5000) [2 per cell]

**Total magnetic moment**: 0.00 μB/f.u.
**ΔE_f**: -0.026 eV/atom
**Density of states at the Fermi level**: 28.68 states/eV/cell
**E**: -5.024 eV/atom

CrCo3N4 after structural relaxation. Source: the Alexandria database, functional PBE-GGA.

Lattice parameters (Å, degrees): 4.2727 4.2727 8.5476 90.00 90.00 90.00
Space group I-42m (No. 121)
Asymmetric unit:
Cr (0.0000, 0.0000, 0.0000) [2 per cell]
Co (0.0000, 0.0000, 0.5000) [2 per cell]
Co (0.0000, 0.5000, 0.2500) [4 per cell]
N (0.2467, 0.2467, 0.1226) [8 per cell]

**Total magnetic moment**: 0.00 μB/f.u.
**Raw formation energy**: -0.61 eV/f.u.
**Density of states at the Fermi level**: 11.66 states/eV/cell
**E**: -8.107 eV/atom

Ir4Ru3 after structural relaxation. Source: the Alexandria database, functional PBE-GGA.

Lattice parameters (Å, degrees): 3.3102 3.3102 18.8891 90.00 90.00 90.00
Space group I4/mmm (No. 139)
Asymmetric unit:
Ir (0.0000, 0.0000, 0.0720) [4 per cell]
Ir (0.0000, 0.0000, 0.3573) [4 per cell]
Ru (0.0000, 0.0000, 0.2137) [4 per cell]
Ru (0.0000, 0.0000, 0.5000) [2 per cell]

**Energy relative to the lowest polymorph listed for this composition**: 0 meV per atom
**Total magnetic moment**: 2.22 μB/f.u.
**ΔE_f**: 0.391 eV/atom
**Density of states at the Fermi level**: 19.52 states/eV/cell
**E**: -8.648 eV/atom

Pm2RhPbO6 after structural relaxation. Source: the Alexandria database, functional PBE-GGA.

Lattice parameters (Å, degrees): 5.6594 6.0217 9.9374 90.00 122.55 90.00
Space group P2_1/c (No. 14)
Asymmetric unit:
Pm (0.2174, 0.0706, 0.2482) [4 per cell]
Rh (0.0000, 0.0000, 0.5000) [2 per cell]
Pb (0.5000, 0.0000, 0.0000) [2 per cell]
O (0.0833, 0.2163, 0.9169) [4 per cell]
O (0.2138, 0.6826, 0.9259) [4 per cell]
O (0.3666, 0.0661, 0.7203) [4 per cell]

**Total magnetic moment**: 0.00 μB/f.u.
**Raw formation energy**: -20.56 eV/f.u.
**Density of states at the Fermi level**: 9.99 states/eV/cell
**E**: -7.087 eV/atom

Ca2La7Pr12 after structural relaxation. Source: the Alexandria database, functional PBE-GGA.

Lattice parameters (Å, degrees): 15.6081 15.6081 3.7018 90.00 90.00 120.00
Space group P-6 (No. 174)
Asymmetric unit:
Ca (0.0000, 0.0000, 0.0000) [1 per cell]
Ca (0.3333, 0.6667, 0.5000) [1 per cell]
La (0.0990, 0.4786, 0.0000) [3 per cell]
La (0.2333, 0.1865, 0.5000) [3 per cell]
La (0.6667, 0.3333, 0.0000) [1 per cell]
Pr (0.0517, 0.2548, 0.5000) [3 per cell]
Pr (0.1247, 0.7119, 0.0000) [3 per cell]
Pr (0.4174, 0.1529, 0.0000) [3 per cell]
Pr (0.4958, 0.3990, 0.5000) [3 per cell]

**Total magnetic moment**: 0.00 μB/f.u.
**ΔE_f**: 0.049 eV/atom
**Density of states at the Fermi level**: 32.49 states/eV/cell
**E**: -4.516 eV/atom